Record 1
## BaTi2Co (SCAN)

Data for a crystal of BaTi2Co relaxed with PBEsol.

Results
D(E_F) ... 3.1 states/eV/cell
Symmetry ... No. 225
Spin magnetization ... 1.172 μB per formula unit
ΔH_f (0 K) ... 896 meV per atom

a b c (Å): 4.6303 4.6303 4.6303
angles (deg): 60.00 60.00 60.00
Fractional positions:
Ti 0.2500 0.2500 0.2500
Ti 0.7500 0.7500 0.7500
Co 0.0000 0.0000 0.0000
Ba 0.5000 0.5000 0.5000


Record 2
## BaTlCo3 (SCAN)

Data for a crystal of BaTlCo3 relaxed with PBEsol.

Results
D(E_F) ... 3.1 states/eV/cell
Symmetry ... No. 221
Spin magnetization ... 4.575 μB per formula unit
ΔH_f (0 K) ... 2031 meV per atom

a b c (Å): 4.7879 4.7879 4.7879
angles (deg): 90.00 90.00 90.00
Fractional positions:
Ba 0.0000 0.0000 0.0000
Co 0.0000 0.0000 0.5000
Co 0.0000 0.5000 0.0000
Co 0.5000 0.0000 0.0000
Tl 0.5000 0.5000 0.5000


Record 3
## BaTlCo2 (SCAN)

Data for a crystal of BaTlCo2 relaxed with PBEsol.

Results
D(E_F) ... 2.5 states/eV/cell
Symmetry ... No. 166
Spin magnetization ... 3.281 μB per formula unit
ΔH_f (0 K) ... 193 meV per atom

a b c (Å): 4.4332 4.4332 6.0962
angles (deg): 68.68 68.68 60.00
Fractional positions:
Co 0.1765 0.1765 0.4704
Co 0.8235 0.8235 0.5296
Ba 0.0000 0.0000 0.0000
Tl 0.5000 0.5000 0.5000


Record 4
## BaTlCo2 (SCAN)

Data for a crystal of BaTlCo2 relaxed with PBEsol.

Results
D(E_F) ... 2.3 states/eV/cell
Symmetry ... No. 225
Spin magnetization ... 3.218 μB per formula unit
ΔH_f (0 K) ... 703 meV per atom

a b c (Å): 4.8245 4.8245 4.8245
angles (deg): 60.00 60.00 60.00
Fractional positions:
Co 0.7500 0.7500 0.7500
Co 0.2500 0.2500 0.2500
Tl 0.5000 0.5000 0.5000
Ba 0.0000 0.0000 0.0000


Number 1: E_tot -21.333 eV per atom. Number 2: E_tot -30.734 eV per atom. Number 3: E_tot -36.436 eV per atom. Number 4: E_tot -35.926 eV per atom.